Record 1
A relaxed BaLi2Re crystal. Source: the Alexandria database, functional GGA-PBE.

abc: 3.232 5.047 5.435
angles: 90.00 90.00 90.00
Space group Pmmm (No. 47)
One atom of each set of equivalent atoms:
Ba1 0.000 0.000 0.000 (multiplicity 1)
Li1 0.000 0.500 0.500 (multiplicity 1)
Li2 0.500 0.000 0.500 (multiplicity 1)
Re1 0.500 0.500 0.000 (multiplicity 1)

Values from the calculation:
The value obtained for the energy above the most stable polymorph in this dataset is 24.9 kJ per mole of atoms. As for the calculated formation energy: 1.018 eV/atom.

Record 2
A relaxed BaLi2Re crystal. Source: the Alexandria database, functional GGA-PBE.

abc: 5.101 5.101 2.967
angles: 90.00 90.00 90.00
Space group P4/mmm (No. 123)
One atom of each set of equivalent atoms:
Ba1 0.000 0.000 0.000 (multiplicity 1)
Li1 0.000 0.500 0.500 (multiplicity 2)
Re1 0.500 0.500 0.000 (multiplicity 1)

Values from the calculation:
The value obtained for the energy above the most stable polymorph in this dataset is 20.6 kJ per mole of atoms. As for the calculated formation energy: 0.973 eV/atom.

Record 3
A relaxed Ba2LiRe crystal. Source: the Alexandria database, functional GGA-PBE.

abc: 7.936 7.936 7.936
angles: 90.00 90.00 90.00
Space group Fm-3m (No. 225)
One atom of each set of equivalent atoms:
Ba1 0.250 0.250 0.250 (multiplicity 8)
Li1 0.000 0.000 0.000 (multiplicity 4)
Re1 0.000 0.000 0.500 (multiplicity 4)

Values from the calculation:
The value obtained for the energy above the most stable polymorph in this dataset is 2.3 kJ per mole of atoms. As for the calculated formation energy: 0.877 eV/atom.

Record 4
A relaxed BaLi2Re crystal. Source: the Alexandria database, functional GGA-PBE.

abc: 2.953 5.679 11.751
angles: 90.00 90.00 90.00
Space group Immm (No. 71)
One atom of each set of equivalent atoms:
Ba1 0.000 0.000 0.000 (multiplicity 2)
Li1 0.000 0.500 0.199 (multiplicity 4)
Re1 0.000 0.000 0.500 (multiplicity 2)

Values from the calculation:
The value obtained for the energy above the most stable polymorph in this dataset is 6.4 kJ per mole of atoms. As for the calculated formation energy: 0.827 eV/atom.

Record 5
A relaxed BaLi2Re crystal. Source: the Alexandria database, functional GGA-PBE.

abc: 3.453 3.453 6.990
angles: 90.00 90.00 90.00
Space group P4/mmm (No. 123)
One atom of each set of equivalent atoms:
Ba1 0.000 0.000 0.000 (multiplicity 1)
Li1 0.500 0.500 0.329 (multiplicity 2)
Re1 0.000 0.000 0.500 (multiplicity 1)

Values from the calculation:
The value obtained for the energy above the most stable polymorph in this dataset is 13.8 kJ per mole of atoms. As for the calculated formation energy: 0.904 eV/atom.

Record 6
A relaxed Ba2LiRe crystal. Source: the Alexandria database, functional GGA-PBE.

abc: 7.741 7.741 7.741
angles: 90.00 90.00 90.00
Space group F-43m (No. 216)
One atom of each set of equivalent atoms:
Ba1 0.000 0.000 0.000 (multiplicity 4)
Ba2 0.250 0.250 0.250 (multiplicity 4)
Li1 0.250 0.250 0.750 (multiplicity 4)
Re1 0.000 0.000 0.500 (multiplicity 4)

Values from the calculation:
The value obtained for the energy above the most stable polymorph in this dataset is 19.9 kJ per mole of atoms. As for the calculated formation energy: 1.059 eV/atom.

Record 7
A relaxed BaLi2Re crystal. Source: the Alexandria database, functional GGA-PBE.

abc: 2.905 4.605 6.249
angles: 90.00 90.00 90.00
Space group Pmmm (No. 47)
One atom of each set of equivalent atoms:
Ba1 0.000 0.000 0.000 (multiplicity 1)
Li1 0.500 0.500 0.322 (multiplicity 2)
Re1 0.000 0.000 0.500 (multiplicity 1)

Values from the calculation:
The value obtained for the energy above the most stable polymorph in this dataset is 7.1 kJ per mole of atoms. As for the calculated formation energy: 0.834 eV/atom.

Record 8
A relaxed BaLi2Re crystal. Source: the Alexandria database, functional GGA-PBE.

abc: 6.326 9.476 2.899
angles: 90.00 109.63 90.00
Space group C2/m (No. 12)
One atom of each set of equivalent atoms:
Ba1 0.000 0.000 0.000 (multiplicity 2)
Li1 0.250 0.250 0.500 (multiplicity 4)
Re1 0.000 0.500 0.000 (multiplicity 2)

Values from the calculation:
The value obtained for the energy above the most stable polymorph in this dataset is 12.4 kJ per mole of atoms. As for the calculated formation energy: 0.889 eV/atom.

Record 9
A relaxed Ba2LiRe crystal. Source: the Alexandria database, functional GGA-PBE.

abc: 3.354 3.954 9.979
angles: 90.00 90.14 90.00
Space group P2/m (No. 10)
One atom of each set of equivalent atoms:
Ba1 0.003 0.000 0.203 (multiplicity 2)
Li1 0.500 0.500 0.500 (multiplicity 1)
Re1 0.500 0.500 0.000 (multiplicity 1)

Values from the calculation:
The value obtained for the energy above the most stable polymorph in this dataset is 1.2 kJ per mole of atoms. As for the calculated formation energy: 0.866 eV/atom.

Record 10
A relaxed BaLi2Re crystal. Source: the Alexandria database, functional GGA-PBE.

abc: 2.946 3.925 7.905
angles: 90.00 90.00 90.00
Space group Pmm2 (No. 25)
One atom of each set of equivalent atoms:
Ba1 0.000 0.000 0.000 (multiplicity 1)
Li1 0.000 0.000 0.572 (multiplicity 1)
Li2 0.500 0.500 0.389 (multiplicity 1)
Re1 0.500 0.500 0.721 (multiplicity 1)

Values from the calculation:
The value obtained for the energy above the most stable polymorph in this dataset is 1.3 kJ per mole of atoms. As for the calculated formation energy: 0.774 eV/atom.

Record 11
A relaxed BaLi2Re crystal. Source: the Alexandria database, functional GGA-PBE.

abc: 2.980 5.358 10.176
angles: 90.00 90.00 90.00
Space group Imm2 (No. 44)
One atom of each set of equivalent atoms:
Ba1 0.000 0.000 0.000 (multiplicity 2)
Li1 0.000 0.000 0.497 (multiplicity 2)
Li2 0.000 0.500 0.771 (multiplicity 2)
Re1 0.000 0.500 0.219 (multiplicity 2)

Values from the calculation:
The value obtained for the energy above the most stable polymorph in this dataset is 10.9 kJ per mole of atoms. As for the calculated formation energy: 0.873 eV/atom.

Record 12
A relaxed Ba2LiRe crystal. Source: the Alexandria database, functional GGA-PBE.

abc: 12.258 3.589 5.850
angles: 90.00 106.89 90.00
Space group Cm (No. 8)
One atom of each set of equivalent atoms:
Ba1 0.000 0.000 0.000 (multiplicity 2)
Ba2 0.203 0.000 0.634 (multiplicity 2)
Li1 0.402 0.000 0.389 (multiplicity 2)
Re1 0.239 0.500 0.146 (multiplicity 2)

Values from the calculation:
The value obtained for the energy above the most stable polymorph in this dataset is 3.1 kJ per mole of atoms. As for the calculated formation energy: 0.885 eV/atom.

Record 13
A relaxed Ba2LiRe crystal. Source: the Alexandria database, functional GGA-PBE.

abc: 4.818 4.818 10.156
angles: 90.00 90.00 90.00
Space group I-4m2 (No. 119)
One atom of each set of equivalent atoms:
Ba1 0.000 0.000 0.000 (multiplicity 2)
Ba2 0.000 0.500 0.250 (multiplicity 2)
Li1 0.000 0.500 0.750 (multiplicity 2)
Re1 0.000 0.000 0.500 (multiplicity 2)

Values from the calculation:
The value obtained for the energy above the most stable polymorph in this dataset is 15.8 kJ per mole of atoms. As for the calculated formation energy: 1.017 eV/atom.

Record 14
A relaxed BaLi4Re crystal. Source: the Alexandria database, functional GGA-PBE.

abc: 7.794 7.794 7.794
angles: 90.00 90.00 90.00
Space group F-43m (No. 216)
One atom of each set of equivalent atoms:
Ba1 0.000 0.000 0.000 (multiplicity 4)
Li1 0.120 0.120 0.620 (multiplicity 16)
Re1 0.250 0.250 0.250 (multiplicity 4)

Values from the calculation:
As for the calculated formation energy: 0.641 eV/atom.

Record 15
A relaxed Ba2LiRe crystal. Source: the Alexandria database, functional GGA-PBE.

abc: 3.7246 3.7246 33.2907
angles: 90.00 90.00 120.00
Space group R-3m (No. 166, hexagonal axes)
One atom of each set of equivalent atoms:
Ba1 0.0000 0.0000 0.2346 (multiplicity 6)
Li1 0.0000 0.0000 0.0000 (multiplicity 3)
Re1 0.0000 0.0000 0.5000 (multiplicity 3)

Values from the calculation:
The value obtained for the energy above the most stable polymorph in this dataset is 14.4 kJ per mole of atoms. As for the calculated formation energy: 1.002 eV/atom.